Record 1
A relaxed CuReNi2 crystal. Source: Alexandria via LeMat-Bulk, functional PBE. Values from VASP.

```
&SYSTEM
  ibrav = 0, nat = 4, ntyp = 3
/
ATOMIC_SPECIES
Ni 58.69 Ni.upf
Cu 63.55 Cu.upf
Re 186.21 Re.upf
CELL_PARAMETERS angstrom
4.4098 0.0112 -0.0169
3.6569 2.4644 -0.0169
0.6528 0.2003 4.5198
ATOMIC_POSITIONS crystal
Ni 0.9996 0.9996 0.9933
Ni 0.5004 0.5004 0.5067
Cu 0.2500 0.2500 0.2500
Re 0.7500 0.7500 0.7500
```

The symmetry is C2/m, No. 12. For the energy of formation from the pure elements, the calculation gives 0.111 eV/atom. The energy above the most stable polymorph in this dataset is 0.123 eV per atom.

---

Record 2
A relaxed TmThTeIr crystal. Source: Alexandria via LeMat-Bulk, functional PBE. Values from VASP.

```
&SYSTEM
  ibrav = 0, nat = 4, ntyp = 4
/
ATOMIC_SPECIES
Ir 192.22 Ir.upf
Tm 168.93 Tm.upf
Th 232.04 Th.upf
Te 127.60 Te.upf
CELL_PARAMETERS angstrom
4.1896 -0.0007 -0.0004
-2.0945 3.6291 0.0001
-2.0947 -1.2092 7.3761
ATOMIC_POSITIONS crystal
Ir 0.2994 0.5476 0.8623
Tm 0.5011 0.1485 0.6649
Th 0.1005 0.9482 0.0641
Te 0.9769 0.3865 0.3784
```

The symmetry is R3m, No. 160. Its formation energy (no corrections) is -1116 meV per atom.

---

Record 3
A relaxed YTm2V crystal. Source: Alexandria via LeMat-Bulk, functional PBE. Values from VASP.

```
&SYSTEM
  ibrav = 0, nat = 4, ntyp = 3
/
ATOMIC_SPECIES
Tm 168.93 Tm.upf
Y 88.91 Y.upf
V 50.94 V.upf
CELL_PARAMETERS angstrom
-3.4172 0.3348 -0.9504
-1.0076 -1.1757 3.2086
-0.0289 7.9654 2.9095
ATOMIC_POSITIONS crystal
Tm 0.0000 0.0000 0.1991
Y 0.5000 0.5000 0.5000
V 0.5000 0.5000 0.0000
Tm 0.0000 0.0000 0.8009
```

The symmetry is P4/mmm, No. 123. For the energy of formation from the pure elements, the calculation gives 0.190 eV/atom. The energy above the most stable polymorph in this dataset is 0.000 eV per atom.

---

Record 4
A relaxed Dy2Tm6Zn crystal. Source: Alexandria via LeMat-Bulk, functional PBE. Values from VASP.

```
&SYSTEM
  ibrav = 0, nat = 18, ntyp = 3
/
ATOMIC_SPECIES
Dy 162.50 Dy.upf
Tm 168.93 Tm.upf
Zn 65.41 Zn.upf
CELL_PARAMETERS angstrom
5.2557 0.0000 0.2520
0.0000 9.7802 0.0000
-0.4690 0.0000 10.0107
ATOMIC_POSITIONS crystal
Dy 0.5002 0.7980 0.7309
Dy 0.9998 0.2980 0.7691
Tm 0.9997 0.3709 0.1133
Tm 0.5007 0.8163 0.0564
Tm 0.4997 0.5283 0.3168
Tm 0.9993 0.3163 0.4436
Tm 0.5003 0.4717 0.6832
Tm 0.5003 0.8709 0.3867
Tm 0.9997 0.9717 0.8168
Tm 0.4997 0.1291 0.6133
Zn 0.0000 0.0000 0.5000
Tm 0.0007 0.6837 0.5564
Tm 0.4993 0.1837 0.9436
Dy 0.4998 0.2020 0.2691
Tm 0.0003 0.0283 0.1832
Zn 0.5000 0.5000 0.0000
Dy 0.0002 0.7020 0.2309
Tm 0.0003 0.6291 0.8867
```

The symmetry is P2_1/c, No. 14. For the energy of formation from the pure elements, the calculation gives 0.035 eV/atom.

---

Record 5
A relaxed Ti7Pd2N2 crystal. Source: Alexandria via LeMat-Bulk, functional PBE. Values from VASP.

```
&SYSTEM
  ibrav = 0, nat = 11, ntyp = 3
/
ATOMIC_SPECIES
Pd 106.42 Pd.upf
Ti 47.87 Ti.upf
N 14.01 N.upf
CELL_PARAMETERS angstrom
5.3772 -0.0025 -0.5081
0.0023 5.6691 0.0027
-0.8422 -0.0017 5.3351
ATOMIC_POSITIONS crystal
Pd 0.8146 0.5000 0.8146
Ti 0.0000 0.2314 0.5000
Pd 0.1854 0.5000 0.1854
Ti 0.5000 0.2260 0.5000
Ti 0.5000 0.2314 0.0000
N 0.7292 0.0000 0.2708
Ti 0.0000 0.7686 0.5000
N 0.2708 0.0000 0.7292
Ti 0.5000 0.7740 0.5000
Ti 0.0000 0.0000 0.0000
Ti 0.5000 0.7686 0.0000
```

The symmetry is Cmmm, No. 65. Its formation energy (no corrections) is -569 meV per atom.

---

Record 6
A relaxed ZnHgSe3 crystal. Source: Alexandria via LeMat-Bulk, functional PBE. Values from VASP.

```
&SYSTEM
  ibrav = 0, nat = 5, ntyp = 3
/
ATOMIC_SPECIES
Se 78.96 Se.upf
Hg 200.59 Hg.upf
Zn 65.41 Zn.upf
CELL_PARAMETERS angstrom
-3.1077 3.2734 -2.7110
-4.1445 -3.0784 1.0339
-0.9423 2.7442 4.3936
ATOMIC_POSITIONS crystal
Se 0.0000 0.0000 0.5000
Hg 0.0000 0.0000 0.0000
Se 0.0000 0.5000 0.0000
Se 0.5000 0.0000 0.0000
Zn 0.5000 0.5000 0.5000
```

The symmetry is Pm-3m, No. 221. The energy above the most stable polymorph in this dataset is 0.352 eV per atom. Its formation energy (no corrections) is 766 meV per atom.